1.
Material: KZrRh2
Method: DFT, PBE-GGA
State: optimized geometry

* polymorph energy (0 for the lowest one): 0 meV per atom
* energy relative to the elements: -0.885 eV per formula unit
* space group: No. 10

abc: 3.248 3.190 8.839
angles: 69.05 90.00 90.00
Fractional coordinates of all 4 atoms:
K: 0.500 0.750 0.750
Rh: 0.000 0.938 0.061
Rh: 0.000 0.562 0.439
Zr: 0.500 0.250 0.250


2.
Material: Ba2InAgTe5
Method: DFT, PBE-GGA
State: optimized geometry

* space group: No. 36
* final energy: -66.06 eV/cell

abc: 4.881 11.107 13.169
angles: 90.00 90.00 102.69
Fractional coordinates of all 18 atoms:
Ba: 0.934 0.868 0.796
Ba: 0.153 0.306 0.643
Ba: 0.066 0.132 0.296
Ba: 0.847 0.694 0.143
In: 0.573 0.146 0.962
In: 0.427 0.854 0.462
Ag: 0.752 0.504 0.433
Ag: 0.248 0.496 0.933
Te: 0.376 0.752 0.960
Te: 0.701 0.402 0.004
Te: 0.556 0.112 0.751
Te: 0.317 0.634 0.737
Te: 0.982 0.964 0.539
Te: 0.624 0.248 0.460
Te: 0.299 0.598 0.504
Te: 0.444 0.888 0.251
Te: 0.683 0.366 0.237
Te: 0.018 0.036 0.039


3.
Material: Na2ZrB2
Method: DFT, PBE-GGA
State: optimized geometry

* polymorph energy (0 for the lowest one): 187 meV per atom
* energy relative to the elements: 6.574 eV per formula unit
* space group: No. 139

abc: 4.370 4.370 5.098
angles: 64.62 64.62 90.00
Fractional coordinates of all 5 atoms:
Na: 0.367 0.367 0.267
Na: 0.633 0.633 0.733
B: 0.750 0.250 0.500
B: 0.250 0.750 0.500
Zr: 0.000 0.000 0.000


4.
Material: Sc2CdW
Method: DFT, PBE-GGA
State: optimized geometry

* energy relative to the elements: 0.896 eV per formula unit
* space group: No. 44

abc: 6.056 6.056 6.056
angles: 150.42 130.56 58.67
Fractional coordinates of all 4 atoms:
Cd: 0.267 0.767 0.500
Sc: 0.014 0.014 0.000
Sc: 0.723 0.223 0.500
W: 0.495 0.495 0.000


5.
Material: TbZrPa2
Method: DFT, PBE-GGA
State: optimized geometry

* polymorph energy (0 for the lowest one): 237 meV per atom
* energy relative to the elements: 1.727 eV per formula unit
* space group: No. 225

abc: 5.288 5.288 5.290
angles: 60.01 60.01 60.00
Fractional coordinates of all 4 atoms:
Pa: 0.750 0.750 0.749
Pa: 0.250 0.250 0.251
Tb: 0.000 0.000 0.000
Zr: 0.500 0.500 0.500


6.
Material: RbZrSc
Method: DFT, PBE-GGA
State: optimized geometry

* polymorph energy (0 for the lowest one): 1286 meV per atom
* energy relative to the elements: 4.682 eV per formula unit
* space group: No. 216

abc: 5.575 5.575 5.575
angles: 60.00 60.00 60.00
Each line ends with the local moment (μB).
Fractional coordinates of all 3 atoms:
Sc: 0.000 0.000 0.000  1.02
Rb: 0.250 0.250 0.250  0.07
Zr: 0.750 0.750 0.750  1.59


7.
Material: AcPr2Nd5Ho
Method: DFT, PBE-GGA
State: optimized geometry

* energy relative to the elements: 2.267 eV per formula unit
* space group: No. 140

abc: 9.048 9.048 10.254
angles: 116.18 116.18 90.00
Fractional coordinates of all 18 atoms:
Ac: 0.250 0.250 0.500
Ac: 0.750 0.750 0.500
Pr: 0.118 0.382 0.000
Pr: 0.618 0.118 0.000
Pr: 0.382 0.882 0.000
Pr: 0.882 0.618 0.000
Nd: 0.929 0.429 0.270
Nd: 0.660 0.160 0.730
Nd: 0.071 0.571 0.730
Nd: 0.160 0.071 0.730
Nd: 0.571 0.660 0.730
Nd: 0.840 0.929 0.270
Nd: 0.429 0.340 0.270
Nd: 0.340 0.840 0.270
Nd: 0.500 0.500 0.000
Nd: 0.000 0.000 0.000
Ho: 0.250 0.750 0.500
Ho: 0.750 0.250 0.500


8.
Material: LiNdDyPd
Method: DFT, PBE-GGA
State: optimized geometry

* energy relative to the elements: -1.429 eV per formula unit
* space group: No. 216

abc: 5.114 5.114 5.114
angles: 60.00 60.00 60.00
Fractional coordinates of all 4 atoms:
Li: 0.000 0.000 0.000
Nd: 0.250 0.250 0.250
Pd: 0.500 0.500 0.500
Dy: 0.750 0.750 0.750


Q: What is the formula in the seventh record?
A: AcPr2Nd5Ho